Compound: Li3Cu
Source: Alexandria via LeMat-Bulk
Functional: GGA-PBEsol
Structure: relaxed

Geometry as extended XYZ:
```
8
Lattice="4.902 0.000 0.000 0.000 4.902 0.000 0.000 0.000 4.902" Properties=species:S:1:pos:R:3 pbc="T T T"
Li 0.000 1.226 2.451
Li 0.000 3.677 2.451
Li 1.226 2.451 0.000
Li 2.451 0.000 1.226
Li 2.451 0.000 3.677
Li 3.677 2.451 0.000
Cu 0.000 0.000 0.000
Cu 2.451 2.451 2.451
```

Computed properties:
Symmetry: Pm-3n, No. 223
Crystal system: cubic


Compound: SrTlRh2
Source: Alexandria via LeMat-Bulk
Functional: GGA-PBEsol
Structure: relaxed

Geometry as extended XYZ:
```
4
Lattice="1.700 0.981 8.232 -1.700 0.981 8.232 0.000 -1.963 8.232" Properties=species:S:1:pos:R:3 pbc="T T T"
Sr 0.000 0.000 0.000
Tl 0.000 0.000 12.348
Rh 0.000 0.000 5.996
Rh 0.000 0.000 18.700
```

Computed properties:
Symmetry: R-3m, No. 166
Excess energy over the best structure of this formula in the dataset in meV per atom: 427
Crystal system: trigonal


Compound: NaTl2Sb2
Source: Alexandria via LeMat-Bulk
Functional: GGA-PBEsol
Structure: relaxed

Geometry as extended XYZ:
```
10
Lattice="8.219 0.000 0.000 0.000 8.219 0.000 0.000 0.000 4.413" Properties=species:S:1:pos:R:3 pbc="T T T"
Na 0.000 0.000 0.000
Na 4.109 4.109 0.000
Tl 1.364 2.746 2.207
Tl 2.746 6.855 2.207
Tl 5.473 1.364 2.207
Tl 6.855 5.473 2.207
Sb 1.031 5.140 0.000
Sb 3.079 1.031 0.000
Sb 5.140 7.188 0.000
Sb 7.188 3.079 0.000
```

Computed properties:
Symmetry: P4/mbm, No. 127
E_form (uncorrected) in kJ per mole of atoms: -5
Excess energy over the best structure of this formula in the dataset in meV per atom: 0
Crystal system: tetragonal


Compound: MgBeAu2
Source: Alexandria via LeMat-Bulk
Functional: GGA-PBEsol
Structure: relaxed

Geometry as extended XYZ:
```
4
Lattice="-1.889 1.889 4.183 1.889 -1.889 4.183 1.889 1.889 -4.183" Properties=species:S:1:pos:R:3 pbc="T T T"
Mg 0.000 0.000 0.000
Be 1.889 0.000 2.091
Au 0.000 0.000 4.183
Au 0.000 1.889 2.091
```

Computed properties:
Symmetry: I-4m2, No. 119
Excess energy over the best structure of this formula in the dataset in meV per atom: 116
Crystal system: tetragonal


Compound: SrLiMg3
Source: Alexandria via LeMat-Bulk
Functional: GGA-PBEsol
Structure: relaxed

Geometry as extended XYZ:
```
5
Lattice="5.125 0.000 0.000 0.000 5.125 0.000 0.000 0.000 5.125" Properties=species:S:1:pos:R:3 pbc="T T T"
Sr 0.000 0.000 0.000
Li 2.563 2.563 2.563
Mg 0.000 2.563 2.563
Mg 2.563 0.000 2.563
Mg 2.563 2.563 0.000
```

Computed properties:
Symmetry: Pm-3m, No. 221
Crystal system: cubic


Compound: Tl2FeIr
Source: Alexandria via LeMat-Bulk
Functional: GGA-PBEsol
Structure: relaxed

Geometry as extended XYZ:
```
4
Lattice="4.024 0.000 0.000 0.000 1.907 4.954 0.000 -1.907 4.954" Properties=species:S:1:pos:R:3 pbc="T T T"
Tl 0.000 0.000 0.000
Tl 2.012 0.000 3.003
Fe 2.012 0.000 5.781
Ir 0.000 0.000 7.092
```

Computed properties:
Symmetry: Amm2, No. 38
Excess energy over the best structure of this formula in the dataset in meV per atom: 126
Crystal system: orthorhombic


Compound: InMoCl
Source: Alexandria via LeMat-Bulk
Functional: GGA-PBEsol
Structure: relaxed

Geometry as extended XYZ:
```
3
Lattice="0.000 3.124 3.124 3.124 0.000 3.124 3.124 3.124 0.000" Properties=species:S:1:pos:R:3 pbc="T T T"
In 0.000 0.000 0.000
Mo 3.124 3.124 3.124
Cl 1.562 1.562 1.562
```

Computed properties:
Symmetry: F-43m, No. 216
E_form (uncorrected) in kJ per mole of atoms: 116
Crystal system: cubic


Compound: PI2Cl
Source: Alexandria via LeMat-Bulk
Functional: GGA-PBEsol
Structure: relaxed

Geometry as extended XYZ:
```
8
Lattice="-3.929 3.929 3.913 3.929 -3.929 3.913 3.929 3.929 -3.913" Properties=species:S:1:pos:R:3 pbc="T T T"
P 0.000 0.000 0.000
P 0.000 3.929 1.956
I 5.894 1.563 -0.978
I 1.563 1.965 0.978
I -1.965 2.367 2.934
I 2.367 1.965 4.891
Cl 3.929 0.000 1.956
Cl 0.000 0.000 3.913
```

Computed properties:
Symmetry: I-42d, No. 122
E_form (uncorrected) in kJ per mole of atoms: 28
Excess energy over the best structure of this formula in the dataset in meV per atom: 0
Crystal system: tetragonal


Compound: KNa2Ta
Source: Alexandria via LeMat-Bulk
Functional: GGA-PBEsol
Structure: relaxed

Geometry as extended XYZ:
```
8
Lattice="-4.462 4.462 3.460 4.462 -4.462 3.460 4.462 4.462 -3.460" Properties=species:S:1:pos:R:3 pbc="T T T"
K 0.000 0.000 0.000
K 0.000 4.462 1.730
Na 2.231 2.359 -0.865
Na 6.564 2.231 0.865
Na 2.231 2.103 2.595
Na -2.103 2.231 4.325
Ta 4.462 0.000 1.730
Ta 0.000 0.000 3.460
```

Computed properties:
Symmetry: I-42d, No. 122
Crystal system: tetragonal


Compound: BHS2
Source: Alexandria via LeMat-Bulk
Functional: GGA-PBEsol
Structure: relaxed

Geometry as extended XYZ:
```
8
Lattice="-2.276 2.276 4.432 2.276 -2.276 4.432 2.276 2.276 -4.432" Properties=species:S:1:pos:R:3 pbc="T T T"
B 0.000 0.000 0.000
B 0.000 2.276 2.216
H 2.276 0.000 2.216
H 0.000 0.000 4.432
S 3.413 1.084 -1.108
S 1.084 1.138 1.108
S -1.138 1.192 3.324
S 1.192 1.138 5.539
```

Computed properties:
Symmetry: I-42d, No. 122
Crystal system: tetragonal


Compound: AgIrO2F
Source: Alexandria via LeMat-Bulk
Functional: GGA-PBEsol
Structure: relaxed

Geometry as extended XYZ:
```
5
Lattice="3.638 0.000 0.000 0.000 3.638 0.000 0.000 0.000 6.097" Properties=species:S:1:pos:R:3 pbc="T T T"
Ag 0.000 0.000 0.000
Ir 1.819 1.819 3.049
O 0.000 1.819 3.049
O 1.819 0.000 3.049
F 1.819 1.819 0.000
```

Computed properties:
Symmetry: P4/mmm, No. 123
E_form (uncorrected) in kJ per mole of atoms: -44
Crystal system: tetragonal


Compound: NiH3W
Source: Alexandria via LeMat-Bulk
Functional: GGA-PBEsol
Structure: relaxed

Geometry as extended XYZ:
```
5
Lattice="3.200 0.000 0.000 0.000 3.200 0.000 0.000 0.000 3.200" Properties=species:S:1:pos:R:3 pbc="T T T"
Ni 0.000 0.000 0.000
H 0.000 0.000 1.600
H 0.000 1.600 0.000
H 1.600 0.000 0.000
W 1.600 1.600 1.600
```

Computed properties:
Symmetry: Pm-3m, No. 221
Crystal system: cubic


Final energy for the records above, in order: -19.9; -19.5; -32.1; -14.6; -8.6; -22.1; -13.2; -20.4; -20.7; -39.0; -27.8; -28.5 eV/cell